## CuSbCl2 (PBE-GGA)

Data for a geometry-optimized CuSbCl2 structure.

Cell: 5.264 5.264 5.264 Å, 130.08 130.08 73.29°
Element x y z (fractional)
Cu 0.000 0.000 0.000
Sb 0.500 0.500 0.000
Cl 0.250 0.750 0.500
Cl 0.750 0.250 0.500

Properties
Energy above the most stable polymorph in this dataset: 639 meV/atom
DOS(E_F): 1.6 states/eV per cell
SG: No. 139

## Cu2SbCl (PBE-GGA)

Data for a geometry-optimized Cu2SbCl structure.

Cell: 4.722 4.722 4.722 Å, 60.00 60.00 60.00°
Element x y z (fractional)
Cu 0.250 0.250 0.250
Cu 0.750 0.750 0.750
Sb 0.000 0.000 0.000
Cl 0.500 0.500 0.500

Properties
Energy above the most stable polymorph in this dataset: 577 meV/atom
DOS(E_F): 3.7 states/eV per cell
SG: No. 225

## Cu2SbCl6 (PBE-GGA)

Data for a geometry-optimized Cu2SbCl6 structure.

Cell: 9.101 9.101 6.751 Å, 102.71 102.71 84.08°
Element x y z (fractional)
Cu 0.016 0.833 0.863
Cu 0.167 0.984 0.637
Cu 0.833 0.016 0.363
Cu 0.984 0.167 0.137
Sb 0.412 0.588 0.750
Sb 0.588 0.412 0.250
Cl 0.043 0.178 0.503
Cl 0.144 0.611 0.865
Cl 0.178 0.043 0.003
Cl 0.315 0.448 0.356
Cl 0.389 0.856 0.635
Cl 0.448 0.315 0.856
Cl 0.552 0.685 0.144
Cl 0.611 0.144 0.365
Cl 0.685 0.552 0.644
Cl 0.822 0.957 0.997
Cl 0.856 0.389 0.135
Cl 0.957 0.822 0.497

Properties
Energy above the most stable polymorph in this dataset: 16 meV/atom
DOS(E_F): 12.6 states/eV per cell
SG: No. 15

## Cu2SbCl (PBE-GGA)

Data for a geometry-optimized Cu2SbCl structure.

Cell: 7.365 7.365 7.365 Å, 151.66 151.66 40.51°
Element x y z (fractional)
Cu 0.000 0.000 0.000
Cu 0.750 0.250 0.500
Sb 0.500 0.500 0.000
Cl 0.250 0.750 0.500

Properties
Energy above the most stable polymorph in this dataset: 374 meV/atom
DOS(E_F): 2.2 states/eV per cell
SG: No. 119

## CuSbCl2 (PBE-GGA)

Data for a geometry-optimized CuSbCl2 structure.

Cell: 6.600 6.600 6.600 Å, 120.16 120.16 89.72°
Element x y z (fractional)
Cu 0.000 0.000 0.000
Cu 0.750 0.250 0.500
Sb 0.250 0.750 0.500
Sb 0.500 0.500 0.000
Cl 0.040 0.625 0.915
Cl 0.375 0.290 0.415
Cl 0.710 0.125 0.085
Cl 0.875 0.960 0.585

Properties
Energy above the most stable polymorph in this dataset: 419 meV/atom
DOS(E_F): 3.7 states/eV per cell
SG: No. 122

## CuSbCl2 (PBE-GGA)

Data for a geometry-optimized CuSbCl2 structure.

Cell: 5.261 5.261 3.175 Å, 90.00 90.00 104.15°
Element x y z (fractional)
Cu 0.000 0.000 0.000
Sb 0.500 0.500 0.000
Cl 0.000 0.500 0.500
Cl 0.500 0.000 0.500

Properties
Energy above the most stable polymorph in this dataset: 651 meV/atom
DOS(E_F): 2.6 states/eV per cell
SG: No. 65

Computed values of raw formation energy (unit: kJ/mol of atoms) for the preceding records, in sequence: 21.8, 45.5, -60.3, 25.9, 0.6, 22.9.